RbLaBr after structural relaxation, computed with GGA-PBE.

Summary:
DFT total energy (eV/f.u.): -9.74
Symmetry: Amm2, No. 38

Unit cell a=4.073 b=4.038 c=17.167 alpha=90.00 beta=90.00 gamma=120.29
Site moments in Bohr magnetons follow the coordinates.
Atoms (fractional coordinates):
Rb (0.664, 0.328, 0.361)  0.01
La (0.225, 0.450, 0.873)  0.18
Rb (0.664, 0.328, 0.639)  0.01
Br (0.329, 0.657, 0.500)  0.00
La (0.225, 0.450, 0.127)  0.18
Br (0.559, 0.119, 0.000)  0.00